# 1
The following is a DFT calculation (PBE-GGA) of a geometry-optimized Al3V7Re2 structure. Values from VASP.

Values from the calculation:
V: 182.7 Å³ per cell
magnetization: 0.0 μB per formula unit
ΔE_f: 0.1257 eV/atom

```
&SYSTEM
  ibrav = 0, nat = 12, ntyp = 3
/
ATOMIC_SPECIES
V 50.94 V.upf
Al 26.98 Al.upf
Re 186.21 Re.upf
CELL_PARAMETERS angstrom
-1.4111 2.1445 3.2232
-3.5922 -1.8733 -0.3262
5.2740 -6.9062 6.9039
ATOMIC_POSITIONS crystal
V 0.0000 0.4239 0.8477
V 0.0000 0.7312 0.4624
V 0.5000 0.0736 0.1472
V 0.5000 0.9264 0.8528
V 0.0000 0.5761 0.1523
V 0.0000 0.0000 0.0000
V 0.0000 0.2688 0.5376
Al 0.5000 0.5000 0.0000
Al 0.5000 0.3437 0.6873
Al 0.5000 0.6563 0.3127
Re 0.0000 0.8546 0.7092
Re 0.0000 0.1454 0.2908
```


# 2
The following is a DFT calculation (PBE-GGA) of a geometry-optimized Pr2TlHg9 structure. Values from VASP.

Values from the calculation:
V: 318.4 Å³ per cell
magnetization: 0.0 μB per formula unit
ΔE_f: -0.2489 eV/atom

```
&SYSTEM
  ibrav = 0, nat = 12, ntyp = 3
/
ATOMIC_SPECIES
Hg 200.59 Hg.upf
Tl 204.38 Tl.upf
Pr 140.91 Pr.upf
CELL_PARAMETERS angstrom
-3.1176 -2.0659 -2.9946
3.5894 -2.3898 -2.0881
-1.7178 -10.4298 8.9835
ATOMIC_POSITIONS crystal
Hg 0.5000 0.5000 0.6559
Hg 0.5000 0.5000 0.3441
Hg 0.5000 0.0000 0.1675
Hg 0.5000 0.5000 0.0000
Hg 0.0000 0.5000 0.1675
Hg 0.5000 0.0000 0.5000
Hg 0.0000 0.5000 0.5000
Hg 0.5000 0.0000 0.8325
Hg 0.0000 0.5000 0.8325
Tl 0.0000 0.0000 0.0000
Pr 0.0000 0.0000 0.3276
Pr 0.0000 0.0000 0.6724
```


# 3
The following is a DFT calculation (PBE-GGA) of a geometry-optimized TaNiIr structure. Values from VASP.

Values from the calculation:
V: 43.7 Å³ per cell
magnetization: 0.0 μB per formula unit
ΔE_f: -0.2378 eV/atom

```
&SYSTEM
  ibrav = 0, nat = 3, ntyp = 3
/
ATOMIC_SPECIES
Ta 180.95 Ta.upf
Ni 58.69 Ni.upf
Ir 192.22 Ir.upf
CELL_PARAMETERS angstrom
5.7711 -0.0132 0.0139
5.0778 2.7446 0.0286
0.6934 0.1636 2.7529
ATOMIC_POSITIONS crystal
Ta 0.6699 0.6699 0.3301
Ni 0.3339 0.3339 0.6661
Ir 0.9962 0.9962 0.0038
```


Question: The highest V belongs to which entry?
Answer: Pr2TlHg9


Question: Among the records above, which one has the lowest V?
Answer: TaNiIr


Question: Which of these has the highest ΔE_f?
Answer: Al3V7Re2